DFT (PBE) results for crystalline KVCu2S4 at its relaxed geometry.

Cell and atoms, written as CIF:
```
data_KVCu2S4
_cell_length_a 6.0809
_cell_length_b 6.0809
_cell_length_c 9.1941
_cell_angle_alpha 90.00
_cell_angle_beta 90.00
_cell_angle_gamma 90.00
_symmetry_space_group_name_H-M 'I -4 2 m'
_symmetry_Int_Tables_number 121
_symmetry_space_group_name_Hall 'I -4 2'
loop_
_atom_site_label
_atom_site_fract_x
_atom_site_fract_y
_atom_site_fract_z
K1 0.0000 0.0000 0.0000
V1 0.0000 0.0000 0.5000
Cu1 0.0000 0.5000 0.2500
S1 0.1968 0.1968 0.3492
```

ΔE to the lowest computed polymorph   185 meV per atom
Magnetic moment   0.00 Bohr magnetons per cell